Be3FeH | PBE-GGA | relaxed

Properties
**Energy above the lowest structure with this stoichiometry**: 0.0 meV/atom
**Theoretical density**: 3.87 g/cm3
**Calculated volume**: 7.19 A^3/atom
**Space-group type**: No. 221

a = 3.3005 Å, b = 3.3005 Å, c = 3.3005 Å
α = 90.00°, β = 90.00°, γ = 90.00°
Element x y z (fractional)
Be (0.0000, 0.0000, 0.5000)
Be (0.0000, 0.5000, 0.0000)
Be (0.5000, 0.0000, 0.0000)
Fe (0.5000, 0.5000, 0.5000)
H (0.0000, 0.0000, 0.0000)